This record from the Alexandria database describes a geometry-optimized NaPrSm structure. The functional is PBE.

a = 3.6441 Å, b = 3.6441 Å, c = 9.3301 Å
α = 90.00°, β = 90.00°, γ = 120.00°
Last column: nearest neighbours and their distance in Å.
Positions (direct):
Na 0.0000 0.0000 0.0000  6 Na 3.64, 3 Sm 3.84, 3 Pr 3.89
Pr 0.6667 0.3333 0.3501  3 Sm 3.54, 6 Pr 3.64, 3 Na 3.89
Sm 0.3333 0.6667 0.6556  3 Pr 3.54, 6 Sm 3.64, 3 Na 3.84

## Properties
formation energy from the elements = 0.108 eV/atom
density of states at the Fermi level = 3.64 states/eV/cell
space-group type = No. 156

This record from the Alexandria database describes a geometry-optimized NaPr2Sm structure. The functional is PBE.

a = 13.1974 Å, b = 13.1974 Å, c = 13.1974 Å
α = 15.73°, β = 15.73°, γ = 15.73°
Last column: nearest neighbours and their distance in Å.
Positions (direct):
Na 0.0000 0.0000 0.0000  2 Pr 3.57, 6 Na 3.61
Pr 0.0914 0.0914 0.0914  1 Na 3.57, 3 Sm 3.61, 6 Pr 3.61
Pr 0.9086 0.9086 0.9086  1 Na 3.57, 3 Sm 3.61, 6 Pr 3.61
Sm 0.5000 0.5000 0.5000  6 Pr 3.61, 6 Sm 3.61

## Properties
formation energy from the elements = 0.128 eV/atom
density of states at the Fermi level = 4.98 states/eV/cell
space-group type = No. 166

This record from the Alexandria database describes a geometry-optimized NaPrSm structure. The functional is PBE.

a = 8.6914 Å, b = 8.6914 Å, c = 8.6914 Å
α = 156.21°, β = 156.21°, γ = 33.90°
Last column: nearest neighbours and their distance in Å.
Positions (direct):
Na 0.0000 0.0000 0.0000  4 Na 3.58, 4 Sm 3.82, 4 Pr 3.86
Pr 0.6751 0.6751 0.0000  4 Pr 3.58, 4 Sm 3.59, 4 Na 3.86
Sm 0.3277 0.3277 0.0000  4 Sm 3.58, 4 Pr 3.59, 4 Na 3.82

## Properties
formation energy from the elements = 0.123 eV/atom
density of states at the Fermi level = 3.29 states/eV/cell
space-group type = No. 107

This record from the Alexandria database describes a geometry-optimized NaPr2Sm structure. The functional is PBE.

a = 12.4989 Å, b = 12.4989 Å, c = 12.4989 Å
α = 16.92°, β = 16.92°, γ = 16.92°
Last column: nearest neighbours and their distance in Å.
Positions (direct):
Na 0.0000 0.0000 0.0000  6 Na 3.68, 6 Pr 3.85-3.86
Pr 0.4205 0.4205 0.4205  3 Sm 3.63, 6 Pr 3.68, 3 Na 3.86
Pr 0.5796 0.5796 0.5796  3 Sm 3.62, 6 Pr 3.68, 3 Na 3.85
Sm 0.1668 0.1668 0.1668  6 Pr 3.62-3.63, 6 Sm 3.68

## Properties
formation energy from the elements = 0.087 eV/atom
density of states at the Fermi level = 4.70 states/eV/cell
space-group type = No. 160

This record from the Alexandria database describes a geometry-optimized NaPr2Sm structure. The functional is PBE.

a = 6.0684 Å, b = 6.0684 Å, c = 3.7634 Å
α = 90.00°, β = 90.00°, γ = 90.00°
Last column: nearest neighbours and their distance in Å.
Positions (direct):
Na 0.0000 0.0000 0.0000  8 Pr 3.57, 2 Na 3.76
Pr 0.0000 0.5000 0.5000  4 Na 3.57, 4 Sm 3.57, 2 Pr 3.76
Pr 0.5000 0.0000 0.5000  4 Na 3.57, 4 Sm 3.57, 2 Pr 3.76
Sm 0.5000 0.5000 0.0000  8 Pr 3.57, 2 Sm 3.76

## Properties
formation energy from the elements = 0.183 eV/atom
density of states at the Fermi level = 5.12 states/eV/cell
space-group type = No. 123

This record from the Alexandria database describes a geometry-optimized NaPrSm structure. The functional is PBE.

a = 5.7361 Å, b = 5.7361 Å, c = 7.2984 Å
α = 90.00°, β = 90.00°, γ = 120.00°
Last column: nearest neighbours and their distance in Å.
Positions (direct):
Na 0.3333 0.6667 0.9996  3 Na 3.31, 2 Sm 3.65
Na 0.6667 0.3333 0.0004  3 Na 3.31, 2 Sm 3.65
Pr 0.0000 0.0000 0.2654  1 Pr 3.42, 6 Sm 3.73, 3 Na 3.84
Pr 0.0000 0.0000 0.7346  1 Pr 3.42, 6 Sm 3.73, 3 Na 3.84
Sm 0.3333 0.6667 0.4998  3 Sm 3.31, 2 Na 3.65
Sm 0.6667 0.3333 0.5002  3 Sm 3.31, 2 Na 3.65

## Properties
formation energy from the elements = 0.147 eV/atom
density of states at the Fermi level = 6.13 states/eV/cell
space-group type = No. 164

> Look up the formation energy from the elements of the third one.

0.123 eV/atom

> Which formula does entry 5 have?

NaPr2Sm

> Which of these has the highest formation energy from the elements?

number 5

> The lowest formation energy from the elements belongs to which entry?

number 4